A relaxed SmScSi2Pd5 crystal. Source: Alexandria, functional GGA-PBE.

Calculated values
Volume ... 17.2 A^3/atom
Crystal system ... tetragonal
M_tot ... 0.000 μB per formula unit
Final energy ... -6.164 eV per atom

abc: 4.139 4.139 9.032
angles: 90.00 90.00 90.00
Atoms (fractional coordinates):
1 Pd 0.000 0.500 0.261
2 Pd 0.000 0.500 0.739
3 Pd 0.500 0.500 0.500
4 Si 0.500 0.500 0.127
5 Sm 0.000 0.000 0.500
6 Pd 0.500 0.000 0.739
7 Si 0.500 0.500 0.873
8 Pd 0.500 0.000 0.261
9 Sc 0.000 0.000 0.000